Compound: Al3SiI
Source: Alexandria via LeMat-Bulk
Functional: PBE
Structure: optimized geometry

abc: 5.4719 5.4719 5.4719
angles: 90.00 90.00 90.00
Closest atoms and distances in Å follow each position.
Space group Pm-3m (No. 221)
Inequivalent atoms, fractional coordinates:
Al1 0.0000 0.0000 0.5000 [3 per cell]  2 I 2.74
Si1 0.5000 0.5000 0.5000 [1 per cell]  12 Al 3.87
I1 0.0000 0.0000 0.0000 [1 per cell]  6 Al 2.74

Calculated values
Formation energy without anion corrections ... 1.471 eV/atom
Density of states at the Fermi level ... 0.823 states/eV/atom
Relative energy among the computed polymorphs ... 5.11 eV/f.u.